1.
Entry from Alexandria via LeMat-Bulk: crystalline Dy2TmPaRu2 at its relaxed geometry (GGA-PBE).

Lattice parameters (Å, degrees): 6.6901 6.7330 8.2998 113.93 113.77 90.00
With the nearest neighbours (Å) after each atom.
Fractional positions:
1 Dy 0.6933 0.9064 0.3865  2 Ru 2.81-3.10
2 Dy 0.3067 0.0936 0.6135  2 Ru 2.81-3.10
3 Dy 0.1933 0.4801 0.3865  2 Ru 2.81-3.10
4 Dy 0.8067 0.5199 0.6135  2 Ru 2.81-3.10
5 Ru 0.1037 0.8129 0.2073  2 Pa 2.60, 1 Dy 2.81
6 Ru 0.8963 0.1871 0.7927  2 Pa 2.60, 1 Dy 2.81
7 Ru 0.3963 0.6056 0.7927  2 Pa 2.60, 1 Dy 2.81
8 Ru 0.6037 0.3944 0.2073  2 Pa 2.60, 1 Dy 2.81
9 Pa 0.2500 0.5000 0.0000  4 Ru 2.60
10 Pa 0.7500 0.5000 0.0000  4 Ru 2.60
11 Tm 0.2500 0.0000 0.0000  4 Ru 2.94
12 Tm 0.7500 0.0000 0.0000  4 Ru 2.94

Summary:
ρ   10.039 g/cm³
ΔH_f (0 K)   -309 meV/atom

***

2.
Entry from Alexandria via LeMat-Bulk: crystalline KBe2Al at its relaxed geometry (GGA-PBE).

Lattice parameters (Å, degrees): 3.7370 5.8332 8.1240 74.59 90.26 70.82
With the nearest neighbours (Å) after each atom.
Fractional positions:
1 Al 0.9653 0.5654 0.8322  6 Be 2.51-2.62, 1 Al 2.62
2 Al 0.0347 0.4346 0.1678  6 Be 2.51-2.62, 1 Al 2.62
3 Be 0.8016 0.8967 0.0079  5 Be 2.16-2.18
4 Be 0.6028 0.2923 0.0080  4 Be 2.16-2.26
5 Be 0.3972 0.7077 0.9920  4 Be 2.16-2.26
6 Be 0.1984 0.1033 0.9921  5 Be 2.16-2.18
7 K 0.3466 0.8020 0.3816  4 Be 3.13-3.49, 1 K 3.34, 1 Al 3.43
8 K 0.6534 0.1980 0.6184  4 Be 3.13-3.49, 1 K 3.34, 1 Al 3.43

Summary:
ρ   1.741 g/cm³
ΔH_f (0 K)   192 meV/atom

***

3.
Entry from Alexandria via LeMat-Bulk: crystalline RePd3C at its relaxed geometry (GGA-PBE).

Lattice parameters (Å, degrees): 4.1713 4.1713 4.1713 90.00 90.00 90.00
With the nearest neighbours (Å) after each atom.
Fractional positions:
1 C 0.0000 0.0000 0.0000  6 Pd 2.09
2 Re 0.5000 0.5000 0.5000  12 Pd 2.95
3 Pd 0.0000 0.0000 0.5000  2 C 2.09
4 Pd 0.5000 0.0000 0.0000  2 C 2.09
5 Pd 0.0000 0.5000 0.0000  2 C 2.09

Summary:
ρ   11.840 g/cm³
ΔH_f (0 K)   935 meV/atom
E above lowest polymorph   0 meV per atom

***

4.
Entry from Alexandria via LeMat-Bulk: crystalline Hf2NbPb at its relaxed geometry (GGA-PBE).

Lattice parameters (Å, degrees): 3.8439 4.6947 4.6947 90.00 90.00 90.00
With the nearest neighbours (Å) after each atom.
Fractional positions:
1 Pb 0.5000 0.0000 0.0000  8 Hf 3.03, 4 Nb 3.32
2 Hf 0.0000 0.5000 0.0000  4 Nb 3.03, 4 Pb 3.03, 4 Hf 3.32
3 Hf 0.0000 0.0000 0.5000  4 Nb 3.03, 4 Pb 3.03, 4 Hf 3.32
4 Nb 0.5000 0.5000 0.5000  8 Hf 3.03, 4 Pb 3.32

Summary:
ρ   12.879 g/cm³
ΔH_f (0 K)   -7 meV/atom

***

5.
Entry from Alexandria via LeMat-Bulk: crystalline Th6GaC3 at its relaxed geometry (GGA-PBE).

Lattice parameters (Å, degrees): 3.6577 11.2009 11.6073 102.99 90.00 90.00
With the nearest neighbours (Å) after each atom.
Fractional positions:
1 Th 0.2500 0.7909 0.5243  2 C 2.59
2 Th 0.2500 0.3060 0.7580  3 C 2.55-2.60
3 Th 0.7500 0.8244 0.7851  2 C 2.49
4 Th 0.2500 0.0831 0.9065  3 C 2.57
5 Th 0.7500 0.3795 0.0549  4 C 2.61-2.74
6 Th 0.7500 0.2091 0.4757  2 C 2.59
7 Th 0.7500 0.5273 0.6384  4 C 2.57-2.81
8 Th 0.7500 0.9169 0.0935  3 C 2.57
9 Th 0.7500 0.6940 0.2420  3 C 2.55-2.60
10 Th 0.2500 0.6205 0.9451  4 C 2.61-2.74
11 Th 0.2500 0.4727 0.3616  4 C 2.57-2.81
12 Th 0.2500 0.1756 0.2149  2 C 2.49
13 Ga 0.2500 0.9565 0.3416  8 Th 3.12-3.44
14 Ga 0.7500 0.0435 0.6584  8 Th 3.12-3.44
15 C 0.2500 0.5406 0.1425  6 Th 2.60-2.81
16 C 0.7500 0.1378 0.0654  6 Th 2.49-2.74
17 C 0.7500 0.4594 0.8575  6 Th 2.60-2.81
18 C 0.7500 0.6309 0.4399  6 Th 2.55-2.80
19 C 0.2500 0.3691 0.5601  6 Th 2.55-2.80
20 C 0.2500 0.8622 0.9346  6 Th 2.49-2.74

Summary:
ρ   10.736 g/cm³
ΔH_f (0 K)   -211 meV/atom

***

6.
Entry from Alexandria via LeMat-Bulk: crystalline Ac2Sn2Pt5 at its relaxed geometry (GGA-PBE).

Lattice parameters (Å, degrees): 4.8406 4.8406 8.7773 90.00 90.00 90.00
With the nearest neighbours (Å) after each atom.
Fractional positions:
1 Pt 0.0000 0.5000 0.7180  2 Sn 2.63
2 Pt 0.5000 0.0000 0.7180  2 Sn 2.63
3 Pt 0.0000 0.5000 0.2820  2 Sn 2.63
4 Pt 0.5000 0.0000 0.2820  2 Sn 2.63
5 Pt 0.5000 0.5000 0.5000  2 Sn 2.94, 8 Pt 3.09
6 Sn 0.5000 0.5000 0.8351  5 Pt 2.63-2.94, 1 Sn 2.89
7 Sn 0.5000 0.5000 0.1649  5 Pt 2.63-2.94, 1 Sn 2.89
8 Ac 0.0000 0.0000 0.5000  12 Pt 3.09-3.42
9 Ac 0.0000 0.0000 0.0000  8 Pt 3.46, 8 Sn 3.72

Summary:
ρ   13.458 g/cm³
ΔH_f (0 K)   -793 meV/atom
E above lowest polymorph   0 meV per atom

***

7.
Entry from Alexandria via LeMat-Bulk: crystalline MnSn2Pb2 at its relaxed geometry (GGA-PBE).

Lattice parameters (Å, degrees): 6.9608 6.9608 5.3984 90.00 90.00 90.00
With the nearest neighbours (Å) after each atom.
Fractional positions:
1 Pb 0.1703 0.6703 0.5000  2 Sn 3.16, 1 Pb 3.35
2 Pb 0.3297 0.1703 0.5000  2 Sn 3.16, 1 Pb 3.35
3 Pb 0.8297 0.3297 0.5000  2 Sn 3.16, 1 Pb 3.35
4 Pb 0.6703 0.8297 0.5000  2 Sn 3.16, 1 Pb 3.35
5 Sn 0.3381 0.8381 0.0000  2 Mn 2.61
6 Sn 0.8381 0.6619 0.0000  2 Mn 2.61
7 Sn 0.1619 0.3381 0.0000  2 Mn 2.61
8 Sn 0.6619 0.1619 0.0000  2 Mn 2.61
9 Mn 0.5000 0.5000 0.0000  4 Sn 2.61
10 Mn 0.0000 0.0000 0.0000  4 Sn 2.61

Summary:
ρ   8.974 g/cm³
ΔH_f (0 K)   456 meV/atom

***

8.
Entry from Alexandria via LeMat-Bulk: crystalline LiErP2Rh5 at its relaxed geometry (GGA-PBE).

Lattice parameters (Å, degrees): 4.0548 4.0548 8.5091 90.00 90.00 90.00
With the nearest neighbours (Å) after each atom.
Fractional positions:
1 P 0.5000 0.5000 0.8680  1 P 2.25, 4 Rh 2.28
2 P 0.5000 0.5000 0.1320  1 P 2.25, 4 Rh 2.28
3 Li 0.0000 0.0000 0.0000  8 Rh 2.97, 8 P 3.08
4 Rh 0.0000 0.5000 0.7457  2 P 2.28
5 Rh 0.5000 0.5000 0.5000  4 Er 2.87, 8 Rh 2.91, 2 P 3.13
6 Rh 0.5000 0.0000 0.7457  2 P 2.28
7 Rh 0.0000 0.5000 0.2543  2 P 2.28
8 Rh 0.5000 0.0000 0.2543  2 P 2.28
9 Er 0.0000 0.0000 0.5000  12 Rh 2.87-2.91

Summary:
ρ   8.910 g/cm³
ΔH_f (0 K)   -745 meV/atom

***

9.
Entry from Alexandria via LeMat-Bulk: crystalline MgScHg4 at its relaxed geometry (GGA-PBE).

Lattice parameters (Å, degrees): 5.8496 5.8496 5.8496 60.00 60.00 60.00
With the nearest neighbours (Å) after each atom.
Fractional positions:
1 Mg 0.7500 0.7500 0.7500  12 Hg 3.43, 4 Sc 3.58
2 Hg 0.8759 0.3747 0.3747  6 Hg 2.92-2.93
3 Hg 0.3747 0.3747 0.8759  6 Hg 2.92-2.93
4 Hg 0.3747 0.3747 0.3747  6 Hg 2.92-2.93
5 Hg 0.3747 0.8759 0.3747  6 Hg 2.92-2.93
6 Sc 0.0000 0.0000 0.0000  12 Hg 3.43, 4 Mg 3.58

Summary:
ρ   10.226 g/cm³
ΔH_f (0 K)   59 meV/atom
E above lowest polymorph   260 meV per atom

***

10.
Entry from Alexandria via LeMat-Bulk: crystalline LiYSc3 at its relaxed geometry (GGA-PBE).

Lattice parameters (Å, degrees): 5.0624 5.0624 5.0624 90.00 90.00 90.00
With the nearest neighbours (Å) after each atom.
Fractional positions:
1 Sc 0.5000 0.0000 0.0000  2 Li 2.53
2 Sc 0.0000 0.0000 0.5000  2 Li 2.53
3 Sc 0.0000 0.5000 0.0000  2 Li 2.53
4 Y 0.5000 0.5000 0.5000  12 Sc 3.58
5 Li 0.0000 0.0000 0.0000  6 Sc 2.53

Summary:
ρ   2.953 g/cm³
ΔH_f (0 K)   416 meV/atom
E above lowest polymorph   0 meV per atom

***

11.
Entry from Alexandria via LeMat-Bulk: crystalline Pr5As2S2 at its relaxed geometry (GGA-PBE).

Lattice parameters (Å, degrees): 7.9438 8.4008 8.4008 124.33 90.00 90.00
With the nearest neighbours (Å) after each atom.
Fractional positions:
1 Pr 0.6528 0.0215 0.3010  3 S 3.03-3.14, 3 As 3.04-3.17
2 Pr 0.8472 0.5215 0.8010  3 S 3.03-3.14, 3 As 3.04-3.17
3 Pr 0.3472 0.6990 0.9785  3 S 3.03-3.14, 3 As 3.04-3.17
4 Pr 0.1528 0.1990 0.4785  3 S 3.03-3.14, 3 As 3.04-3.17
5 Pr 0.5000 0.5000 0.5000  2 S 2.88, 4 As 3.02-3.04
6 Pr 0.8472 0.8010 0.5215  3 S 3.03-3.14, 3 As 3.04-3.17
7 Pr 0.0000 0.0000 0.0000  2 S 2.88, 4 As 3.02-3.04
8 Pr 0.1528 0.4785 0.1990  3 S 3.03-3.14, 3 As 3.04-3.17
9 Pr 0.6528 0.3010 0.0215  3 S 3.03-3.14, 3 As 3.04-3.17
10 Pr 0.3472 0.9785 0.6990  3 S 3.03-3.14, 3 As 3.04-3.17
11 As 0.1440 0.6434 0.6434  8 Pr 3.02-3.17, 1 As 3.21
12 As 0.6440 0.8566 0.8566  8 Pr 3.02-3.17, 1 As 3.21
13 As 0.8560 0.3566 0.3566  8 Pr 3.02-3.17, 1 As 3.21
14 As 0.3560 0.1434 0.1434  8 Pr 3.02-3.17, 1 As 3.21
15 S 0.5000 0.3061 0.6939  7 Pr 2.88-3.14
16 S 0.5000 0.6939 0.3061  7 Pr 2.88-3.14
17 S 0.0000 0.1939 0.8061  7 Pr 2.88-3.14
18 S 0.0000 0.8061 0.1939  7 Pr 2.88-3.14

Summary:
ρ   6.589 g/cm³
Final energy   -6.03 eV/atom

***

12.
Entry from Alexandria via LeMat-Bulk: crystalline TlCo2W at its relaxed geometry (GGA-PBE).

Lattice parameters (Å, degrees): 4.1776 2.8791 5.0869 73.72 90.00 90.00
With the nearest neighbours (Å) after each atom.
Fractional positions:
1 Tl 0.0000 0.4645 0.4484  7 Co 2.58-2.72, 2 Tl 2.88
2 Co 0.5000 0.0610 0.2536  2 Co 2.49, 3 W 2.56-2.77, 4 Tl 2.71
3 Co 0.0000 0.1994 0.9769  2 Co 2.49, 3 Tl 2.58-2.72, 4 W 2.65
4 W 0.5000 0.7751 0.8211  7 Co 2.56-2.77

Summary:
ρ   14.309 g/cm³
ΔH_f (0 K)   570 meV/atom
E above lowest polymorph   217 meV per atom

***

13.
Entry from Alexandria via LeMat-Bulk: crystalline La2PrHgTe5 at its relaxed geometry (GGA-PBE).

Lattice parameters (Å, degrees): 4.4977 9.8765 13.8002 88.08 90.00 103.16
With the nearest neighbours (Å) after each atom.
Fractional positions:
1 Te 0.5042 0.0084 0.7792  1 Hg 2.78
2 Te 0.4959 0.9918 0.2790  1 Hg 2.89
3 Te 0.2949 0.5897 0.6665  2 Pr 3.25, 3 La 3.32
4 Te 0.9680 0.9360 0.5946  2 Hg 2.90, 1 La 3.24
5 Te 0.6958 0.3916 0.8359  2 Pr 3.22, 1 Hg 3.25, 3 La 3.43-3.46
6 Te 0.3603 0.7207 0.9965  1 Pr 3.18, 4 La 3.44-3.53
7 Te 0.7049 0.4098 0.1656  2 Pr 3.19, 3 La 3.33-3.34
8 Te 0.2966 0.5932 0.3267  2 Pr 3.29, 3 La 3.34-3.35, 1 Hg 3.37, 2 Te 3.66
9 Te 0.6454 0.2909 0.4988  1 Pr 3.25, 4 La 3.40-3.49
10 Te 0.0399 0.0798 0.0922  2 Hg 2.84
11 La 0.1223 0.2446 0.6820  8 Te 3.24-3.44
12 La 0.8749 0.7498 0.7997  8 Te 3.30-3.53
13 La 0.1241 0.2482 0.3086  8 Te 3.34-3.49
14 La 0.8774 0.7548 0.1824  8 Te 3.32-3.50
15 Pr 0.8145 0.6290 0.4976  2 Hg 3.22, 6 Te 3.25-3.29
16 Pr 0.1951 0.3901 0.0028  6 Te 3.18-3.22
17 Hg 0.5522 0.1044 0.9670  3 Te 2.78-2.84
18 Hg 0.4336 0.8672 0.4725  3 Te 2.89-2.90, 2 Pr 3.22

Summary:
ρ   6.999 g/cm³
Final energy   -4.63 eV/atom

***

14.
Entry from Alexandria via LeMat-Bulk: crystalline Sm2Ga5Pt at its relaxed geometry (GGA-PBE).

Lattice parameters (Å, degrees): 6.1970 6.1970 6.1970 89.58 120.24 120.24
With the nearest neighbours (Å) after each atom.
Fractional positions:
1 Sm 0.5000 0.7505 0.2505  10 Ga 3.09-3.13
2 Sm 0.5000 0.2505 0.7505  10 Ga 3.09-3.13
3 Pt 0.0000 0.9686 0.9686  5 Ga 2.53-2.56
4 Ga 0.0000 0.7103 0.2863  1 Pt 2.53, 3 Ga 2.62-2.80
5 Ga 0.4240 0.7103 0.7103  1 Pt 2.53, 3 Ga 2.62-2.80
6 Ga 0.0000 0.2594 0.2594  1 Pt 2.56, 4 Ga 2.80
7 Ga 0.0000 0.2863 0.7103  1 Pt 2.53, 3 Ga 2.62-2.80
8 Ga 0.5760 0.2863 0.2863  1 Pt 2.53, 3 Ga 2.62-2.80

Summary:
ρ   8.363 g/cm³
ΔH_f (0 K)   -599 meV/atom

***

15.
Entry from Alexandria via LeMat-Bulk: crystalline KZnGa2Cl8 at its relaxed geometry (GGA-PBE).

Lattice parameters (Å, degrees): 6.6995 6.6995 9.4567 90.00 90.00 120.00
With the nearest neighbours (Å) after each atom.
Fractional positions:
1 Cl 0.3367 0.3004 0.3117  1 Ga 2.22
2 Cl 0.6667 0.3333 0.0054  1 Ga 2.20
3 Cl 0.3004 0.9637 0.6883  1 Ga 2.22
4 Cl 0.3333 0.6667 0.9946  1 Ga 2.20
5 Cl 0.6633 0.6996 0.6883  1 Ga 2.22
6 Cl 0.9637 0.6633 0.3117  1 Ga 2.22
7 Cl 0.0363 0.3367 0.6883  1 Ga 2.22
8 Cl 0.6996 0.0363 0.3117  1 Ga 2.22
9 K 0.0000 0.0000 0.0000  12 Cl 3.65-3.87
10 Ga 0.6667 0.3333 0.2380  4 Cl 2.20-2.22
11 Ga 0.3333 0.6667 0.7620  4 Cl 2.20-2.22
12 Zn 0.0000 0.0000 0.5000  6 Cl 2.79

Summary:
ρ   2.383 g/cm³
Final energy   -3.07 eV/atom

***

16.
Entry from Alexandria via LeMat-Bulk: crystalline MgS2N2 at its relaxed geometry (GGA-PBE).

Lattice parameters (Å, degrees): 6.2739 6.2739 3.3516 90.00 90.00 90.00
With the nearest neighbours (Å) after each atom.
Fractional positions:
1 S 0.8489 0.3489 0.5000  2 N 1.82
2 S 0.6511 0.8489 0.5000  2 N 1.82
3 S 0.3489 0.1511 0.5000  2 N 1.82
4 S 0.1511 0.6511 0.5000  2 N 1.82
5 Mg 0.0000 0.0000 0.0000  4 N 2.23
6 Mg 0.5000 0.5000 0.0000  4 N 2.23
7 N 0.2699 0.2301 0.0000  2 S 1.82
8 N 0.7699 0.2699 0.0000  2 S 1.82
9 N 0.7301 0.7699 0.0000  2 S 1.82
10 N 0.2301 0.7301 0.0000  2 S 1.82

Summary:
ρ   2.931 g/cm³
E above lowest polymorph   187 meV per atom

***

17.
Entry from Alexandria via LeMat-Bulk: crystalline TbNd2Se3 at its relaxed geometry (GGA-PBE).

Lattice parameters (Å, degrees): 4.1906 5.9114 7.2542 114.04 106.79 90.00
With the nearest neighbours (Å) after each atom.
Fractional positions:
1 Tb 0.5000 0.5000 0.5000  6 Se 2.89-2.96
2 Nd 0.8284 0.8284 0.1569  6 Se 2.96-3.01
3 Nd 0.1716 0.1716 0.8431  6 Se 2.96-3.01
4 Se 0.8411 0.3411 0.1823  2 Tb 2.89, 4 Nd 2.96-2.99
5 Se 0.5000 0.0000 0.5000  2 Tb 2.96, 4 Nd 3.01
6 Se 0.1589 0.6589 0.8177  2 Tb 2.89, 4 Nd 2.96-2.99

Summary:
ρ   7.299 g/cm³
E above lowest polymorph   0 meV per atom

***

18.
Entry from Alexandria via LeMat-Bulk: crystalline Tm2OsO6 at its relaxed geometry (GGA-PBE).

Lattice parameters (Å, degrees): 4.9370 4.9370 9.8393 90.00 90.00 90.00
With the nearest neighbours (Å) after each atom.
Fractional positions:
1 O 0.1876 0.8124 0.1473  1 Os 1.95
2 O 0.8124 0.1876 0.1473  1 Os 1.95
3 O 0.6876 0.6876 0.6473  1 Os 1.95
4 O 0.2768 0.2768 0.0000  1 Os 1.93
5 O 0.1876 0.8124 0.8527  1 Os 1.95
6 O 0.6876 0.6876 0.3527  1 Os 1.95
7 O 0.7768 0.2232 0.5000  1 Os 1.93
8 O 0.2232 0.7768 0.5000  1 Os 1.93
9 O 0.3124 0.3124 0.6473  1 Os 1.95
10 O 0.3124 0.3124 0.3527  1 Os 1.95
11 O 0.8124 0.1876 0.8527  1 Os 1.95
12 O 0.7232 0.7232 0.0000  1 Os 1.93
13 Tm 0.0000 0.0000 0.3307  6 O 2.19-2.28
14 Tm 0.5000 0.5000 0.1693  6 O 2.19-2.28
15 Tm 0.0000 0.0000 0.6693  6 O 2.19-2.28
16 Tm 0.5000 0.5000 0.8307  6 O 2.19-2.28
17 Os 0.0000 0.0000 0.0000  6 O 1.93-1.95
18 Os 0.5000 0.5000 0.5000  6 O 1.93-1.95

Summary:
ρ   8.642 g/cm³
Final energy   -7.98 eV/atom

***

19.
Entry from Alexandria via LeMat-Bulk: crystalline Ho2UTl2Se6 at its relaxed geometry (GGA-PBE).

Lattice parameters (Å, degrees): 7.1691 7.1691 8.2024 98.47 98.47 119.97
With the nearest neighbours (Å) after each atom.
Fractional positions:
1 Ho 0.3329 0.6671 0.5000  6 Se 2.87-2.88
2 Ho 0.6671 0.3329 0.5000  6 Se 2.87-2.88
3 Tl 0.1674 0.8326 0.0000  6 Se 3.34-3.35
4 Tl 0.8326 0.1674 0.0000  6 Se 3.34-3.35
5 U 0.0000 0.0000 0.5000  6 Se 2.84-2.85
6 Se 0.3980 0.0673 0.7011  1 U 2.85, 2 Ho 2.87
7 Se 0.7382 0.7382 0.7012  1 U 2.84, 2 Ho 2.88
8 Se 0.6020 0.9327 0.2989  1 U 2.85, 2 Ho 2.87
9 Se 0.0673 0.3980 0.7011  1 U 2.85, 2 Ho 2.87
10 Se 0.9327 0.6020 0.2989  1 U 2.85, 2 Ho 2.87
11 Se 0.2618 0.2618 0.2988  1 U 2.84, 2 Ho 2.88

Summary:
ρ   6.901 g/cm³
Final energy   -5.51 eV/atom